Model i:
Below is crystalline Zn2WCl at its relaxed geometry, with properties calculated at the GGA-PBE level.

Lattice parameters (Å, degrees): 4.6335 4.6335 4.6335 60.00 60.00 60.00
With the nearest neighbours (Å) after each atom.
Positions (direct):
Zn 0.7500 0.7500 0.7500  4 W 2.84, 4 Cl 2.84
W 0.5000 0.5000 0.5000  8 Zn 2.84
Zn 0.2500 0.2500 0.2500  4 W 2.84, 4 Cl 2.84
Cl 0.0000 0.0000 0.0000  8 Zn 2.84

Results
For the density of states at the Fermi level, the calculation gives 2.9 states/eV/cell.


Model ii:
Below is crystalline Zn2WCl at its relaxed geometry, with properties calculated at the GGA-PBE level.

Lattice parameters (Å, degrees): 7.0863 7.0863 7.0863 156.58 143.35 43.95
With the nearest neighbours (Å) after each atom.
Positions (direct):
Cl 0.4147 0.4147 0.0000  2 W 2.44
W 0.2651 0.7651 0.5000  2 Cl 2.44, 6 Zn 2.62-2.71
Zn 0.0985 0.0985 0.0000  2 W 2.62, 4 Zn 2.75-2.88
Zn 0.7218 0.2218 0.5000  4 W 2.71, 4 Zn 2.75-2.88

Results
For the density of states at the Fermi level, the calculation gives 1.6 states/eV/cell.


It is model i that is the least stable of them.


Model i:
Below is crystalline La2TeRu at its relaxed geometry, with properties calculated at the GGA-PBE level.

Lattice parameters (Å, degrees): 6.5718 6.5718 6.5718 145.98 138.00 55.11
With the nearest neighbours (Å) after each atom.
Positions (direct):
La 0.0009 0.0009 0.0000  4 Ru 3.04, 2 Te 3.33, 2 La 3.41
Te 0.2989 0.7989 0.5000  2 Ru 2.93, 4 La 3.20
La 0.7121 0.2121 0.5000  4 Te 3.20, 2 Ru 3.24, 2 La 3.41
Ru 0.4882 0.4882 0.0000  2 Te 2.93, 6 La 3.04-3.24

Results
For the density of states at the Fermi level, the calculation gives 2.6 states/eV/cell.


Model ii:
Below is crystalline La2TeRu at its relaxed geometry, with properties calculated at the GGA-PBE level.

Lattice parameters (Å, degrees): 3.7240 3.7240 7.9550 90.00 90.00 99.66
With the nearest neighbours (Å) after each atom.
Positions (direct):
La 0.0000 0.0000 0.4693  2 Ru 2.97, 2 Te 3.28
La 0.0000 0.0000 0.0307  2 Ru 2.97, 2 Te 3.28
Ru 0.5000 0.5000 0.2500  4 La 2.97
Te 0.5000 0.5000 0.7500  8 La 3.28-3.62

Results
For the density of states at the Fermi level, the calculation gives 1.5 states/eV/cell.


It is model i that is the least stable of them.


Model i:
Below is crystalline SrMn2Mo at its relaxed geometry, with properties calculated at the GGA-PBE level.

Lattice parameters (Å, degrees): 9.0382 9.0382 9.0382 20.49 20.49 20.49
With the nearest neighbours (Å) after each atom.
Positions (direct):
Sr 0.7500 0.7500 0.7500  6 Sr 3.22, 6 Mn 3.28
Mn 0.5185 0.5185 0.5185  3 Mo 2.53
Mo 0.2500 0.2500 0.2500  6 Mn 2.53
Mn 0.9815 0.9815 0.9815  3 Mo 2.53

Results
For the density of states at the Fermi level, the calculation gives 5.0 states/eV/cell.


Model ii:
Below is crystalline SrMn2Mo at its relaxed geometry, with properties calculated at the GGA-PBE level.

Lattice parameters (Å, degrees): 4.9885 4.9885 4.9885 128.97 114.51 87.49
With the nearest neighbours (Å) after each atom.
Positions (direct):
Sr 0.2500 0.7500 0.5000  8 Mn 3.04-3.08
Mn 0.9445 0.9445 0.0000  2 Mo 2.57, 1 Mn 2.80
Mo 0.7500 0.2500 0.5000  4 Mn 2.57
Mn 0.5555 0.5555 0.0000  2 Mo 2.57, 1 Mn 2.80

Results
For the density of states at the Fermi level, the calculation gives 4.2 states/eV/cell.


It is model i that is the least stable of them.